Compound: LaHgI
Source: the Alexandria database
Functional: PBE
Structure: optimized geometry

a b c (Å): 12.664 4.721 7.864
angles (deg): 90.00 102.28 90.00
Positions (direct):
1 La 0.813 0.000 0.446
2 La 0.187 0.000 0.554
3 La 0.813 0.500 0.946
4 La 0.187 0.500 0.054
5 I 0.654 0.500 0.229
6 I 0.346 0.500 0.771
7 I 0.654 0.000 0.729
8 I 0.346 0.000 0.271
9 Hg 0.045 0.500 0.345
10 Hg 0.955 0.000 0.155
11 Hg 0.955 0.500 0.655
12 Hg 0.045 0.000 0.845

The space-group type is C2/m, No. 12. The uncorrected formation energy comes out at -2.68 eV per formula unit. For the relative energy among the computed polymorphs, the calculation gives 0.0 meV/atom.